Record 1
Compound: CaReHgMo2
Source: Alexandria
Functional: meta-GGA SCAN
Structure: PBEsol geometry

The structure belongs to space group P4/mmm (No. 123); the cell edges are 4.4470, 4.4470 and 4.9220 Å and the angles 90.00°, 90.00° and 90.00°. The asymmetric unit holds Ca at (0.0000, 0.0000, 0.0000), Re at (0.5000, 0.5000, 0.5000), Hg at (0.0000, 0.0000, 0.5000) and Mo at (0.0000, 0.5000, 0.0000).

The uncorrected energy is -2.992 Ry per atom. The calculation puts the density of states at the Fermi level at 5.562 states/eV/cell.

Record 2
Compound: CaHg3N
Source: Alexandria
Functional: meta-GGA SCAN
Structure: PBEsol geometry

The structure belongs to space group Pm-3m (No. 221); the cell edges are 4.7881, 4.7881 and 4.7881 Å and the angles 90.00°, 90.00° and 90.00°. The asymmetric unit holds Ca at (0.0000, 0.0000, 0.0000), Hg at (0.0000, 0.5000, 0.5000) and N at (0.5000, 0.5000, 0.5000).

The uncorrected energy is -3.246 Ry per atom. The calculation puts the density of states at the Fermi level at 2.789 states/eV/cell. For the energy relative to the elements, uncorrected, the calculation gives 0.5221 eV per atom.

Record 3
Compound: Ca2HgOsN
Source: Alexandria
Functional: meta-GGA SCAN
Structure: PBEsol geometry

The structure belongs to space group P4/mmm (No. 123); the cell edges are 5.6177, 5.6177 and 3.7412 Å and the angles 90.00°, 90.00° and 90.00°. The asymmetric unit holds Ca at (0.0000, 0.5000, 0.0000), Hg at (0.0000, 0.0000, 0.5000), Os at (0.5000, 0.5000, 0.0000) and N at (0.5000, 0.5000, 0.5000).

The uncorrected energy is -2.486 Ry per atom. The calculation puts the density of states at the Fermi level at 2.967 states/eV/cell. For the energy relative to the elements, uncorrected, the calculation gives -0.0932 eV per atom.

Record 4
Compound: NaCa2YHg
Source: Alexandria
Functional: meta-GGA SCAN
Structure: PBEsol geometry

The structure belongs to space group P4/mmm (No. 123); the cell edges are 5.7987, 5.7987 and 5.4212 Å and the angles 90.00°, 90.00° and 90.00°. The asymmetric unit holds Na at (0.0000, 0.0000, 0.0000), Ca at (0.0000, 0.5000, 0.5000), Y at (0.5000, 0.5000, 0.0000) and Hg at (0.0000, 0.0000, 0.5000).

The uncorrected energy is -1.750 Ry per atom. The calculation puts the density of states at the Fermi level at 5.323 states/eV/cell.

Record 5
Compound: CaNbHg3
Source: Alexandria
Functional: meta-GGA SCAN
Structure: PBEsol geometry

The structure belongs to space group Pm-3m (No. 221); the cell edges are 5.3791, 5.3791 and 5.3791 Å and the angles 90.00°, 90.00° and 90.00°. The asymmetric unit holds Ca at (0.0000, 0.0000, 0.0000), Nb at (0.5000, 0.5000, 0.5000) and Hg at (0.0000, 0.0000, 0.5000).

The uncorrected energy is -3.559 Ry per atom. The calculation puts the density of states at the Fermi level at 5.297 states/eV/cell.

Record 6
Compound: CaNiHg3
Source: Alexandria
Functional: meta-GGA SCAN
Structure: PBEsol geometry

The structure belongs to space group Pm-3m (No. 221); the cell edges are 5.6524, 5.6524 and 5.6524 Å and the angles 90.00°, 90.00° and 90.00°. The asymmetric unit holds Ca at (0.0000, 0.0000, 0.0000), Ni at (0.5000, 0.5000, 0.5000) and Hg at (0.0000, 0.0000, 0.5000).

The uncorrected energy is -3.325 Ry per atom. The calculation puts the density of states at the Fermi level at 6.723 states/eV/cell.

Q: Which of these has the lowest uncorrected energy?
A: CaNbHg3

Repeat the sixth record exactly.
Compound: CaNiHg3
Source: Alexandria
Functional: meta-GGA SCAN
Structure: PBEsol geometry

The structure belongs to space group Pm-3m (No. 221); the cell edges are 5.6524, 5.6524 and 5.6524 Å and the angles 90.00°, 90.00° and 90.00°. The asymmetric unit holds Ca at (0.0000, 0.0000, 0.0000), Ni at (0.5000, 0.5000, 0.5000) and Hg at (0.0000, 0.0000, 0.5000).

The uncorrected energy is -3.325 Ry per atom. The calculation puts the density of states at the Fermi level at 6.723 states/eV/cell.

Q: uncorrected energy of number 1 (CaReHgMo2)?
A: -2.992 Ry per atom

Q: What is the uncorrected energy in the first record?
A: -2.992 Ry per atom